# 1
TbHf3Ir2, relaxed, DFT PBE; DFT formation energy = -0.746 eV per atom; space-group type = Pmc2_1 (26); M_tot = 0.00 Bohr magnetons per cell
1.0
4.506 0.000 0.000
0.000 8.269 0.000
0.000 0.000 6.788
Tb Hf Ir
2 6 4
Direct
0.000 0.072 0.000 Tb
0.000 0.928 0.500 Tb
0.000 0.335 0.636 Hf
0.000 0.665 0.136 Hf
0.500 0.180 0.344 Hf
0.500 0.425 0.980 Hf
0.500 0.575 0.480 Hf
0.500 0.820 0.844 Hf
0.000 0.347 0.243 Ir
0.000 0.653 0.743 Ir
0.500 0.169 0.734 Ir
0.500 0.831 0.234 Ir


# 2
CeIn6Ag, relaxed, DFT PBE; DFT formation energy = -0.142 eV per atom; space-group type = Cmmm (65); M_tot = 1.02 Bohr magnetons per cell
1.0
3.923 -5.436 0.000
3.923 5.436 0.000
0.000 0.000 4.810
Ce In Ag
1 6 1
Direct
0.000 0.000 0.000 Ce
0.000 0.500 0.000 In
0.216 0.784 0.500 In
0.298 0.298 0.500 In
0.500 0.000 0.000 In
0.702 0.702 0.500 In
0.784 0.216 0.500 In
0.500 0.500 0.000 Ag


# 3
CsPrCd2, relaxed, DFT PBE; DFT formation energy = -0.088 eV per atom; space-group type = P4/mmm (123); M_tot = 0.46 Bohr magnetons per cell
1.0
4.014 0.000 0.000
0.000 4.014 0.000
0.000 0.000 9.204
Cs Pr Cd
1 1 2
Direct
0.000 0.000 0.000 Cs
0.000 0.000 0.500 Pr
0.500 0.500 0.312 Cd
0.500 0.500 0.688 Cd


# 4
Li12Tl, relaxed, DFT PBE; DFT formation energy = 0.446 eV per atom; space-group type = Fm-3m (225); relative energy among the computed polymorphs = 0 meV/atom; M_tot = 0.00 Bohr magnetons per cell
1.0
0.000 5.615 5.615
5.615 0.000 5.615
5.615 5.615 0.000
Li Tl
12 1
Direct
0.000 0.000 0.342 Li
0.000 0.000 0.658 Li
0.000 0.342 0.000 Li
0.000 0.342 0.658 Li
0.000 0.658 0.000 Li
0.000 0.658 0.342 Li
0.342 0.000 0.000 Li
0.342 0.000 0.658 Li
0.342 0.658 0.000 Li
0.658 0.000 0.000 Li
0.658 0.000 0.342 Li
0.658 0.342 0.000 Li
0.500 0.500 0.500 Tl


# 5
HfBe17Pd, relaxed, DFT PBE; DFT formation energy = -0.178 eV per atom; space-group type = R3m (160); M_tot = 0.00 Bohr magnetons per cell
1.0
3.702 2.137 3.600
-3.702 2.137 3.600
0.000 -4.274 3.600
Hf Be Pd
1 17 1
Direct
0.000 0.000 0.000 Hf
0.044 0.346 0.633 Be
0.044 0.633 0.346 Be
0.201 0.686 0.686 Be
0.243 0.243 0.243 Be
0.327 0.327 0.851 Be
0.327 0.851 0.327 Be
0.346 0.044 0.633 Be
0.346 0.633 0.044 Be
0.441 0.441 0.441 Be
0.507 0.992 0.992 Be
0.633 0.044 0.346 Be
0.633 0.346 0.044 Be
0.686 0.201 0.686 Be
0.686 0.686 0.201 Be
0.851 0.327 0.327 Be
0.992 0.507 0.992 Be
0.992 0.992 0.507 Be
0.678 0.678 0.678 Pd


# 6
Y2ZnNi, relaxed, DFT PBE; DFT formation energy = -0.106 eV per atom; space-group type = I-4m2 (119); M_tot = 0.00 Bohr magnetons per cell
1.0
-2.067 2.067 4.981
2.067 -2.067 4.981
2.067 2.067 -4.981
Y Zn Ni
2 1 1
Direct
0.000 0.000 0.000 Y
0.750 0.250 0.500 Y
0.250 0.750 0.500 Zn
0.500 0.500 0.000 Ni


# 7
Ti2PdPb, relaxed, DFT PBE; DFT formation energy = 0.039 eV per atom; space-group type = R-3m (166); M_tot = 0.00 Bohr magnetons per cell
1.0
1.690 0.976 8.098
-1.690 0.976 8.098
0.000 -1.952 8.098
Ti Pd Pb
2 1 1
Direct
0.236 0.236 0.236 Ti
0.764 0.764 0.764 Ti
0.500 0.500 0.500 Pd
0.000 0.000 0.000 Pb


# 8
Rb3H4Au2, relaxed, DFT PBE; E_tot = -0.202 Ry per atom; space-group type = C2/c (15); M_tot = 0.00 Bohr magnetons per cell
1.0
6.214 -4.964 0.000
6.214 4.964 0.000
-1.065 0.000 7.613
Rb H Au
6 8 4
Direct
0.031 0.969 0.750 Rb
0.253 0.475 0.960 Rb
0.475 0.253 0.460 Rb
0.525 0.747 0.540 Rb
0.747 0.525 0.040 Rb
0.969 0.031 0.250 Rb
0.015 0.636 0.224 H
0.234 0.586 0.614 H
0.364 0.985 0.276 H
0.414 0.766 0.886 H
0.586 0.234 0.114 H
0.636 0.015 0.724 H
0.766 0.414 0.386 H
0.985 0.364 0.776 H
0.119 0.606 0.421 Au
0.394 0.881 0.079 Au
0.606 0.119 0.921 Au
0.881 0.394 0.579 Au


# 9
Cd2NiP, relaxed, DFT PBE; DFT formation energy = -0.016 eV per atom; space-group type = P4mm (99); M_tot = 0.00 Bohr magnetons per cell
1.0
2.986 0.000 0.000
0.000 2.986 0.000
0.000 0.000 7.905
Cd Ni P
2 1 1
Direct
0.000 0.000 0.000 Cd
0.500 0.500 0.305 Cd
0.000 0.000 0.561 Ni
0.500 0.500 0.686 P


# 10
La2Zn4InPd3, relaxed, DFT PBE; DFT formation energy = -0.575 eV per atom; space-group type = P-4m2 (115); M_tot = 0.00 Bohr magnetons per cell
1.0
4.165 0.000 0.000
0.000 4.165 0.000
0.000 0.000 11.813
La Zn In Pd
2 4 1 3
Direct
0.000 0.500 0.236 La
0.500 0.000 0.764 La
0.000 0.000 0.000 Zn
0.000 0.500 0.646 Zn
0.500 0.000 0.354 Zn
0.500 0.500 0.000 Zn
0.000 0.000 0.500 In
0.000 0.500 0.863 Pd
0.500 0.000 0.137 Pd
0.500 0.500 0.500 Pd


# 11
Ca2ZnGa6Pd, relaxed, DFT PBE; DFT formation energy = -0.130 eV per atom; space-group type = Fm-3m (225); M_tot = 0.00 Bohr magnetons per cell
1.0
0.000 4.882 4.882
4.882 0.000 4.882
4.882 4.882 0.000
Ca Zn Ga Pd
2 1 6 1
Direct
0.250 0.250 0.250 Ca
0.750 0.750 0.750 Ca
0.000 0.000 0.000 Zn
0.247 0.247 0.753 Ga
0.247 0.753 0.247 Ga
0.247 0.753 0.753 Ga
0.753 0.247 0.247 Ga
0.753 0.247 0.753 Ga
0.753 0.753 0.247 Ga
0.500 0.500 0.500 Pd


# 12
Sc3TlH, relaxed, DFT PBE; space-group type = P1 (1); relative energy among the computed polymorphs = 29 meV/atom; M_tot = 0.00 Bohr magnetons per cell
1.0
5.003 0.000 0.000
-0.025 6.159 0.000
-0.002 -1.349 6.235
Sc Tl H
6 2 2
Direct
0.000 0.000 0.000 Sc
0.001 0.537 0.339 Sc
0.004 0.050 0.522 Sc
0.490 0.738 0.670 Sc
0.496 0.260 0.847 Sc
0.510 0.788 0.198 Sc
0.498 0.274 0.332 Tl
0.998 0.512 0.849 Tl
0.745 0.003 0.756 H
0.918 0.833 0.250 H


# 13
BaBrCl4, relaxed, DFT PBE; space-group type = F-43m (216); energy relative to the elements, uncorrected = -4.28 eV/f.u.; M_tot = 1.05 Bohr magnetons per cell
1.0
0.000 4.293 4.293
4.293 0.000 4.293
4.293 4.293 0.000
Ba Br Cl
1 1 4
Direct
0.000 0.000 0.000 Ba
0.750 0.750 0.750 Br
0.375 0.375 0.375 Cl
0.375 0.375 0.876 Cl
0.375 0.876 0.375 Cl
0.876 0.375 0.375 Cl


# 14
Pr2InCl, relaxed, DFT PBE; space-group type = R-3m (166); energy relative to the elements, uncorrected = -3.56 eV/f.u.; relative energy among the computed polymorphs = 7 meV/atom; M_tot = 0.00 Bohr magnetons per cell
1.0
2.032 1.173 8.086
-2.032 1.173 8.086
0.000 -2.347 8.086
Pr In Cl
2 1 1
Direct
0.240 0.240 0.240 Pr
0.760 0.760 0.760 Pr
0.000 0.000 0.000 In
0.500 0.500 0.500 Cl


# 15
PmNdZnOs, relaxed, DFT PBE; DFT formation energy = -0.122 eV per atom; space-group type = F-43m (216); M_tot = 0.00 Bohr magnetons per cell
1.0
0.000 3.579 3.579
3.579 0.000 3.579
3.579 3.579 0.000
Pm Nd Zn Os
1 1 1 1
Direct
0.000 0.000 0.000 Pm
0.500 0.500 0.500 Nd
0.250 0.250 0.250 Zn
0.750 0.750 0.750 Os


# 16
MnMo2Os, relaxed, DFT PBE; DFT formation energy = 0.169 eV per atom; space-group type = Cm (8); relative energy among the computed polymorphs = 79 meV/atom; M_tot = 1.19 Bohr magnetons per cell
1.0
4.550 -1.375 0.000
4.550 1.375 0.000
-0.877 0.000 4.653
Mn Mo Os
1 2 1
Direct
0.000 0.000 0.000 Mn
0.514 0.514 0.514 Mo
0.747 0.747 0.224 Mo
0.270 0.270 0.747 Os


# 17
AlTl2Sb, relaxed, DFT PBE; space-group type = Fm-3m (225); energy relative to the elements, uncorrected = 0.95 eV/f.u.; relative energy among the computed polymorphs = 159 meV/atom; M_tot = 0.00 Bohr magnetons per cell
1.0
0.000 3.810 3.810
3.810 0.000 3.810
3.810 3.810 0.000
Al Tl Sb
1 2 1
Direct
0.000 0.000 0.000 Al
0.250 0.250 0.250 Tl
0.750 0.750 0.750 Tl
0.500 0.500 0.500 Sb


# 18
Mg2AgPd2, relaxed, DFT PBE; DFT formation energy = -0.443 eV per atom; space-group type = P4/mbm (127); relative energy among the computed polymorphs = 42 meV/atom; M_tot = 0.00 Bohr magnetons per cell
1.0
7.570 0.000 0.000
0.000 7.570 0.000
0.000 0.000 2.990
Mg Ag Pd
4 2 4
Direct
0.147 0.353 0.000 Mg
0.353 0.853 0.000 Mg
0.647 0.147 0.000 Mg
0.853 0.647 0.000 Mg
0.000 0.000 0.000 Ag
0.500 0.500 0.000 Ag
0.149 0.649 0.500 Pd
0.351 0.149 0.500 Pd
0.649 0.851 0.500 Pd
0.851 0.351 0.500 Pd


# 19
As3IrF, relaxed, DFT PBE; space-group type = Pm-3m (221); energy relative to the elements, uncorrected = 2.81 eV/f.u.; relative energy among the computed polymorphs = 147 meV/atom; M_tot = 0.00 Bohr magnetons per cell
1.0
4.408 0.000 0.000
0.000 4.408 0.000
0.000 0.000 4.408
As Ir F
3 1 1
Direct
0.000 0.000 0.500 As
0.000 0.500 0.000 As
0.500 0.000 0.000 As
0.500 0.500 0.500 Ir
0.000 0.000 0.000 F


# 20
CsSnB, relaxed, DFT PBE; DFT formation energy = 0.630 eV per atom; space-group type = C2/m (12); M_tot = 0.00 Bohr magnetons per cell
1.0
7.376 -1.977 0.000
7.376 1.977 0.000
-1.772 0.000 7.639
Cs Sn B
2 2 2
Direct
0.151 0.151 0.178 Cs
0.849 0.849 0.822 Cs
0.086 0.086 0.663 Sn
0.914 0.914 0.337 Sn
0.396 0.396 0.218 B
0.604 0.604 0.782 B


# 21
Ho6BSe5, relaxed, DFT PBE; space-group type = C2/m (12); energy relative to the elements, uncorrected = -19.05 eV/f.u.; M_tot = 0.00 Bohr magnetons per cell
1.0
3.501 -6.031 0.000
3.501 6.031 0.000
-2.323 0.000 6.570
Ho B Se
6 1 5
Direct
0.075 0.377 0.728 Ho
0.223 0.223 0.269 Ho
0.377 0.075 0.728 Ho
0.623 0.925 0.272 Ho
0.777 0.777 0.731 Ho
0.925 0.623 0.272 Ho
0.000 0.000 0.500 B
0.175 0.825 0.000 Se
0.334 0.666 0.500 Se
0.500 0.500 0.000 Se
0.666 0.334 0.500 Se
0.825 0.175 0.000 Se


# 22
Cu3Se5, relaxed, DFT PBE; space-group type = P2_1/m (11); energy relative to the elements, uncorrected = 0.34 eV/f.u.; relative energy among the computed polymorphs = 0 meV/atom; M_tot = 0.00 Bohr magnetons per cell
1.0
5.505 0.000 0.000
0.000 7.420 0.000
-0.610 0.000 8.287
Cu Se
6 10
Direct
0.057 0.250 0.231 Cu
0.325 0.250 0.775 Cu
0.329 0.750 0.408 Cu
0.671 0.250 0.592 Cu
0.675 0.750 0.225 Cu
0.943 0.750 0.769 Cu
0.014 0.750 0.063 Se
0.088 0.250 0.524 Se
0.345 0.516 0.191 Se
0.345 0.984 0.191 Se
0.367 0.750 0.695 Se
0.633 0.250 0.305 Se
0.655 0.016 0.809 Se
0.655 0.484 0.809 Se
0.912 0.750 0.476 Se
0.986 0.250 0.937 Se


# 23
Mg2GaPdI, relaxed, DFT PBE; space-group type = P4/mmm (123); energy relative to the elements, uncorrected = 0.23 eV/f.u.; M_tot = 0.00 Bohr magnetons per cell
1.0
5.286 0.000 0.000
0.000 5.286 0.000
0.000 0.000 4.733
Mg Ga Pd I
2 1 1 1
Direct
0.000 0.500 0.000 Mg
0.500 0.000 0.000 Mg
0.000 0.000 0.000 Ga
0.000 0.000 0.500 Pd
0.500 0.500 0.500 I


# 24
Pm3Y2Ho4, relaxed, DFT PBE; DFT formation energy = 0.020 eV per atom; space-group type = C2/m (12); M_tot = 0.00 Bohr magnetons per cell
1.0
7.591 -2.528 0.000
7.591 2.528 0.000
-2.532 0.000 7.593
Pm Y Ho
3 2 4
Direct
0.000 0.000 0.000 Pm
0.111 0.111 0.664 Pm
0.889 0.889 0.336 Pm
0.333 0.333 0.999 Y
0.667 0.667 0.001 Y
0.222 0.222 0.334 Ho
0.443 0.443 0.665 Ho
0.557 0.557 0.335 Ho
0.778 0.778 0.666 Ho